CdSiW2 after structural relaxation, computed with PBE.

a b c (Å): 3.2310 4.4343 4.5752
angles (deg): 90.00 90.00 90.00
Space group Pmmm (No. 47)
Symmetry-distinct sites (fractional):
Cd1 0.0000 0.0000 0.0000 [1 per cell]
Si1 0.5000 0.0000 0.5000 [1 per cell]
W1 0.0000 0.5000 0.5000 [1 per cell]
W2 0.5000 0.5000 0.0000 [1 per cell]

Energy relative to the lowest polymorph listed for this composition in meV per atom: 262
Formation energy without anion corrections in eV per atom: 0.62
Energy in eV/atom: -7.441


Y2Pu3Pt4 after structural relaxation, computed with PBE.

a b c (Å): 7.6939 7.7219 7.4603
angles (deg): 90.00 109.58 90.00
Space group P2_1/c (No. 14)
Symmetry-distinct sites (fractional):
Y1 0.1884 0.1781 0.0641 [4 per cell]
Pu1 0.2453 0.6689 0.2379 [4 per cell]
Pu2 0.5000 0.0000 0.5000 [2 per cell]
Pt1 0.0758 0.5361 0.8366 [4 per cell]
Pt2 0.4851 0.1330 0.8675 [4 per cell]

E_form in eV/atom: -0.9114
Energy in eV/atom: -9.810


La2HoPt2 after structural relaxation, computed with PBE.

a b c (Å): 7.9324 7.9324 4.1594
angles (deg): 90.00 90.00 90.00
Space group P4/mbm (No. 127)
Symmetry-distinct sites (fractional):
La1 0.1629 0.3371 0.0000 [4 per cell]
Ho1 0.0000 0.0000 0.5000 [2 per cell]
Pt1 0.1418 0.6418 0.5000 [4 per cell]

E_form in eV/atom: -1.0022
Energy in eV/atom: -6.305


Please write out number 1 again, unchanged.
CdSiW2 after structural relaxation, computed with PBE.

a b c (Å): 3.2310 4.4343 4.5752
angles (deg): 90.00 90.00 90.00
Space group Pmmm (No. 47)
Symmetry-distinct sites (fractional):
Cd1 0.0000 0.0000 0.0000 [1 per cell]
Si1 0.5000 0.0000 0.5000 [1 per cell]
W1 0.0000 0.5000 0.5000 [1 per cell]
W2 0.5000 0.5000 0.0000 [1 per cell]

Energy relative to the lowest polymorph listed for this composition in meV per atom: 262
Formation energy without anion corrections in eV per atom: 0.62
Energy in eV/atom: -7.441


Question: Which value of energy does entry 2 give?
Answer: -9.810 eV/atom


Question: Which formula does entry 3 have?
Answer: La2HoPt2


Question: energy of number 3 (La2HoPt2)?
Answer: -6.305 eV/atom